#w
Density functional theory data (meta-GGA SCAN) for Y2SbSe at its PBEsol-relaxed geometry.

Cell lengths 7.2188, 7.2188, 7.2188 Å; angles 33.69, 33.69, 33.69 degrees
Closest atoms and distances in Å follow each position.
Positions (direct):
Y (0.2456, 0.2456, 0.2456)  3 Se 2.90, 3 Sb 3.01
Y (0.7544, 0.7544, 0.7544)  3 Se 2.90, 3 Sb 3.01
Sb (0.0000, 0.0000, 0.0000)  6 Y 3.01
Se (0.5000, 0.5000, 0.5000)  6 Y 2.90

Results
- N(E_F): 0.3408 states/eV/atom


#x
Density functional theory data (meta-GGA SCAN) for Y2SbSe at its PBEsol-relaxed geometry.

Cell lengths 4.1899, 4.1899, 5.9119 Å; angles 90.00, 90.00, 90.00 degrees
Closest atoms and distances in Å follow each position.
Positions (direct):
Y (0.0000, 0.0000, 0.0000)  2 Sb 2.96, 4 Se 2.96
Y (0.5000, 0.5000, 0.5000)  2 Se 2.96, 4 Sb 2.96
Sb (0.0000, 0.0000, 0.5000)  6 Y 2.96
Se (0.5000, 0.5000, 0.0000)  6 Y 2.96

Results
- N(E_F): 0.3541 states/eV/atom


#y
Density functional theory data (meta-GGA SCAN) for Y2SbSe at its PBEsol-relaxed geometry.

Cell lengths 6.3581, 6.3581, 6.3581 Å; angles 141.37, 141.37, 55.79 degrees
Closest atoms and distances in Å follow each position.
Positions (direct):
Y (0.0000, 0.0000, 0.0000)  4 Sb 2.97
Y (0.7500, 0.2500, 0.5000)  4 Se 2.97
Sb (0.5000, 0.5000, 0.0000)  4 Y 2.97
Se (0.2500, 0.7500, 0.5000)  4 Y 2.97

Results
- N(E_F): 0.6357 states/eV/atom


Unit: eV/atom. Relative energies: #w 0.000; #x 0.005; #y 0.537.


#w
Density functional theory data (meta-GGA SCAN) for ZnSbSe2 at its PBEsol-relaxed geometry.

Cell lengths 3.4041, 4.5748, 5.2743 Å; angles 90.00, 90.00, 90.00 degrees
Closest atoms and distances in Å follow each position.
Positions (direct):
Zn (0.0000, 0.0000, 0.0000)  4 Sb 2.85, 4 Se 3.14
Sb (0.5000, 0.5000, 0.0000)  4 Zn 2.85, 4 Se 3.14
Se (0.0000, 0.5000, 0.5000)  4 Se 2.85, 4 Sb 3.14
Se (0.5000, 0.0000, 0.5000)  4 Se 2.85, 4 Zn 3.14

Results
- N(E_F): 0.4950 states/eV/atom


#x
Density functional theory data (meta-GGA SCAN) for ZnSbSe2 at its PBEsol-relaxed geometry.

Cell lengths 7.1371, 7.1371, 7.1371 Å; angles 31.33, 31.33, 31.33 degrees
Closest atoms and distances in Å follow each position.
Positions (direct):
Zn (0.0000, 0.0000, 0.0000)  6 Se 2.67
Sb (0.5000, 0.5000, 0.5000)  6 Se 2.93
Se (0.2606, 0.2606, 0.2606)  3 Zn 2.67, 3 Sb 2.93
Se (0.7394, 0.7394, 0.7394)  3 Zn 2.67, 3 Sb 2.93

Results
- N(E_F): 0.4395 states/eV/atom


Unit: eV/atom. Relative energies: #w 0.522; #x 0.000.


#w
Density functional theory data (meta-GGA SCAN) for ZrSbSe3 at its PBEsol-relaxed geometry.

Cell lengths 5.1208, 5.1208, 5.1208 Å; angles 90.00, 90.00, 90.00 degrees
Closest atoms and distances in Å follow each position.
Positions (direct):
Zr (0.0000, 0.0000, 0.0000)  6 Se 2.56
Sb (0.5000, 0.5000, 0.5000)  12 Se 3.62
Se (0.0000, 0.0000, 0.5000)  2 Zr 2.56
Se (0.0000, 0.5000, 0.0000)  2 Zr 2.56
Se (0.5000, 0.0000, 0.0000)  2 Zr 2.56

Results
- N(E_F): 0.8740 states/eV/atom


#x
Density functional theory data (meta-GGA SCAN) for ZrSbSe3 at its PBEsol-relaxed geometry.

Cell lengths 5.1407, 5.1407, 5.1407 Å; angles 90.00, 90.00, 90.00 degrees
Closest atoms and distances in Å follow each position.
Positions (direct):
Zr (0.0000, 0.0000, 0.0000)  12 Se 3.64
Sb (0.5000, 0.5000, 0.5000)  6 Se 2.57
Se (0.0000, 0.5000, 0.5000)  2 Sb 2.57
Se (0.5000, 0.0000, 0.5000)  2 Sb 2.57
Se (0.5000, 0.5000, 0.0000)  2 Sb 2.57

Results
- N(E_F): 0.4979 states/eV/atom


Unit: eV/atom. Relative energies: #w 0.000; #x 0.675.


#w
Density functional theory data (meta-GGA SCAN) for Si2Sb at its PBEsol-relaxed geometry.

Cell lengths 6.6212, 6.6212, 6.1787 Å; angles 117.68, 117.68, 31.80 degrees
Closest atoms and distances in Å follow each position.
Positions (direct):
Si (0.0262, 0.0262, 0.3403)  3 Si 2.37-2.47
Si (0.3312, 0.3312, 0.6017)  4 Si 2.47-2.58, 1 Sb 2.63
Si (0.6688, 0.6688, 0.3983)  4 Si 2.47-2.58, 1 Sb 2.63
Si (0.9738, 0.9738, 0.6597)  3 Si 2.37-2.47
Sb (0.3553, 0.3553, 0.0484)  3 Si 2.63-2.74
Sb (0.6447, 0.6447, 0.9516)  3 Si 2.63-2.74

Results
- N(E_F): 0.2839 states/eV/atom


#x
Density functional theory data (meta-GGA SCAN) for Si2Sb at its PBEsol-relaxed geometry.

Cell lengths 4.2123, 4.2123, 3.7439 Å; angles 90.00, 90.00, 120.00 degrees
Closest atoms and distances in Å follow each position.
Positions (direct):
Si (0.3333, 0.6667, 0.0000)  3 Si 2.43
Si (0.6667, 0.3333, 0.0000)  3 Si 2.43
Sb (0.0000, 0.0000, 0.5000)  12 Si 3.07

Results
- N(E_F): 0.4465 states/eV/atom


Unit: eV/atom. Relative energies: #w 0.000; #x 0.248.


#w
Density functional theory data (meta-GGA SCAN) for Si2Sb at its PBEsol-relaxed geometry.

Cell lengths 3.7900, 3.7900, 4.7582 Å; angles 90.00, 90.00, 120.00 degrees
Closest atoms and distances in Å follow each position.
Positions (direct):
Si (0.3333, 0.6667, 0.1168)  3 Si 2.45
Si (0.6667, 0.3333, 0.8832)  3 Si 2.45
Sb (0.0000, 0.0000, 0.5000)  6 Si 2.85

Results
- N(E_F): 0.4472 states/eV/atom


#x
Density functional theory data (meta-GGA SCAN) for Si2Sb at its PBEsol-relaxed geometry.

Cell lengths 6.4765, 6.4765, 6.4765 Å; angles 150.52, 150.52, 42.18 degrees
Closest atoms and distances in Å follow each position.
Positions (direct):
Si (0.2238, 0.2238, 0.0000)  4 Si 2.41
Si (0.7762, 0.7762, 0.0000)  4 Si 2.41
Sb (0.0000, 0.0000, 0.0000)  2 Si 2.70

Results
- N(E_F): 0.5985 states/eV/atom


#y
Density functional theory data (meta-GGA SCAN) for Si2Sb at its PBEsol-relaxed geometry.

Cell lengths 4.8703, 4.8703, 5.5732 Å; angles 90.00, 90.00, 120.00 degrees
Closest atoms and distances in Å follow each position.
Positions (direct):
Si (0.0000, 0.0000, 0.0000)  2 Si 2.79
Si (0.0000, 0.0000, 0.5000)  2 Si 2.79
Si (0.3333, 0.6667, 0.2500)  5 Sb 2.79-2.81
Si (0.6667, 0.3333, 0.7500)  5 Sb 2.79-2.81
Sb (0.3333, 0.6667, 0.7500)  5 Si 2.79-2.81
Sb (0.6667, 0.3333, 0.2500)  5 Si 2.79-2.81

Results
- N(E_F): 0.4391 states/eV/atom


Unit: eV/atom. Relative energies: #w 0.000; #x 0.078; #y 0.414.


#w
Density functional theory data (meta-GGA SCAN) for Sr2SiSb at its PBEsol-relaxed geometry.

Cell lengths 6.9129, 6.9129, 6.9129 Å; angles 103.20, 103.20, 122.90 degrees
Closest atoms and distances in Å follow each position.
Positions (direct):
Sr (0.1100, 0.1250, 0.4850)  2 Si 3.06, 2 Sb 3.24, 2 Sr 3.31
Sr (0.3750, 0.8900, 0.0150)  2 Si 3.06, 2 Sb 3.24, 2 Sr 3.31
Sr (0.6400, 0.6250, 0.5150)  2 Si 3.06, 2 Sb 3.24, 2 Sr 3.31
Sr (0.8750, 0.3600, 0.9850)  2 Si 3.06, 2 Sb 3.24, 2 Sr 3.31
Si (0.0000, 0.0000, 0.0000)  4 Sr 3.06, 2 Sb 3.30
Si (0.7500, 0.2500, 0.5000)  4 Sr 3.06, 2 Sb 3.30
Sb (0.2500, 0.7500, 0.5000)  4 Sr 3.24, 2 Si 3.30
Sb (0.5000, 0.5000, 0.0000)  4 Sr 3.24, 2 Si 3.30

Results
- N(E_F): 0.7796 states/eV/atom


#x
Density functional theory data (meta-GGA SCAN) for Sr2SiSb at its PBEsol-relaxed geometry.

Cell lengths 5.7132, 5.7132, 5.7132 Å; angles 127.70, 127.70, 77.11 degrees
Closest atoms and distances in Å follow each position.
Positions (direct):
Sr (0.2500, 0.7500, 0.5000)  4 Sb 3.37, 4 Si 3.37, 4 Sr 3.56
Sr (0.7500, 0.2500, 0.5000)  4 Sb 3.37, 4 Si 3.37, 4 Sr 3.56
Si (0.0000, 0.0000, 0.0000)  8 Sr 3.37, 4 Sb 3.56
Sb (0.5000, 0.5000, 0.0000)  8 Sr 3.37, 4 Si 3.56

Results
- N(E_F): 0.4043 states/eV/atom


Unit: eV/atom. Relative energies: #w 0.287; #x 0.000.


#w
Density functional theory data (meta-GGA SCAN) for Ta2SiSb at its PBEsol-relaxed geometry.

Cell lengths 8.6658, 8.6658, 8.6658 Å; angles 21.33, 21.33, 21.33 degrees
Closest atoms and distances in Å follow each position.
Positions (direct):
Ta (0.0000, 0.0000, 0.0000)  3 Ta 2.76, 3 Sb 2.89
Ta (0.2530, 0.2530, 0.2530)  3 Si 2.64, 3 Ta 2.76
Si (0.5124, 0.5124, 0.5124)  3 Ta 2.64
Sb (0.7543, 0.7543, 0.7543)  3 Ta 2.89, 3 Si 2.97, 6 Sb 3.21

Results
- N(E_F): 0.5421 states/eV/atom


#x
Density functional theory data (meta-GGA SCAN) for Ta2SiSb at its PBEsol-relaxed geometry.

Cell lengths 4.8509, 4.8509, 4.7826 Å; angles 95.65, 95.65, 39.80 degrees
Closest atoms and distances in Å follow each position.
Positions (direct):
Ta (0.2464, 0.2464, 0.2648)  1 Si 2.62, 1 Sb 2.75, 2 Ta 2.79
Ta (0.7536, 0.7536, 0.7352)  1 Si 2.62, 1 Sb 2.75, 2 Ta 2.79
Si (0.0000, 0.0000, 0.5000)  2 Ta 2.62, 4 Sb 2.91
Sb (0.5000, 0.5000, 0.0000)  6 Ta 2.75-2.96, 4 Si 2.91

Results
- N(E_F): 0.6233 states/eV/atom


Unit: eV/atom. Relative energies: #w 0.088; #x 0.000.


#w
Density functional theory data (meta-GGA SCAN) for Ta2SiSb at its PBEsol-relaxed geometry.

Cell lengths 3.0809, 3.0809, 7.6884 Å; angles 90.00, 90.00, 104.59 degrees
Closest atoms and distances in Å follow each position.
Positions (direct):
Ta (0.0000, 0.0000, 0.2195)  2 Si 2.53
Ta (0.0000, 0.0000, 0.7805)  2 Si 2.53
Si (0.5000, 0.5000, 0.0000)  4 Ta 2.53
Sb (0.5000, 0.5000, 0.5000)  4 Ta 2.86, 4 Sb 3.08

Results
- N(E_F): 0.6556 states/eV/atom


#x
Density functional theory data (meta-GGA SCAN) for Ta2SiSb at its PBEsol-relaxed geometry.

Cell lengths 5.0627, 5.0627, 4.5751 Å; angles 103.86, 103.86, 38.69 degrees
Closest atoms and distances in Å follow each position.
Positions (direct):
Ta (0.0000, 0.0000, 0.0000)  3 Sb 2.73-2.78, 4 Si 2.77-2.91, 2 Ta 2.97-3.05
Ta (0.2118, 0.2118, 0.6247)  3 Si 2.65-2.83, 4 Sb 2.83-2.87
Si (0.4899, 0.4899, 0.5141)  7 Ta 2.65-2.91
Sb (0.7398, 0.7398, 0.1456)  7 Ta 2.73-2.87, 2 Si 3.05

Results
- N(E_F): 0.5531 states/eV/atom


Unit: eV/atom. Relative energies: #w 0.089; #x 0.000.